## w
## CaCd3I (GGA-PBEsol)

Data for a geometry-optimized CaCd3I structure.

Size of the total moment   0.000 μB/atom

Cell lengths 5.9859, 5.9859, 5.9859 Å; angles 90.00, 90.00, 90.00 degrees
Last column: nearest neighbours and their distance in Å.
Atoms (fractional coordinates):
Ca (0.0000, 0.0000, 0.0000)  6 Cd 2.99
I (0.5000, 0.5000, 0.5000)  12 Cd 4.23
Cd (0.0000, 0.5000, 0.0000)  2 Ca 2.99
Cd (0.5000, 0.0000, 0.0000)  2 Ca 2.99
Cd (0.0000, 0.0000, 0.5000)  2 Ca 2.99

=====

## x
## CaCd3I (GGA-PBEsol)

Data for a geometry-optimized CaCd3I structure.

Size of the total moment   0.000 μB/atom

Cell lengths 5.7435, 5.7435, 5.7435 Å; angles 90.00, 90.00, 90.00 degrees
Last column: nearest neighbours and their distance in Å.
Atoms (fractional coordinates):
Cd (0.5000, 0.0000, 0.0000)  2 I 2.87
Cd (0.0000, 0.5000, 0.0000)  2 I 2.87
Cd (0.0000, 0.0000, 0.5000)  2 I 2.87
I (0.0000, 0.0000, 0.0000)  6 Cd 2.87
Ca (0.5000, 0.5000, 0.5000)  12 Cd 4.06

=====

Most stable one: w, least stable one: x.